No. 1
Crystalline AcGaPdPb at its relaxed geometry. Source: the Alexandria database, functional GGA-PBE.

Total DFT energy (no corrections), eV/atom: -4.489
Calculated density, g cm⁻³: 10.10
Formation energy, eV per atom: -0.480

Lattice parameters (Å, degrees): 7.377 7.377 7.377 90.00 90.00 90.00
Space group F-43m (No. 216)
Asymmetric unit:
Ac  0.000  0.000  0.000 x4
Ga  0.250  0.250  0.250 x4
Pd  0.250  0.250  0.750 x4
Pb  0.000  0.000  0.500 x4

No. 2
Crystalline Ac2GaPd6Pb at its relaxed geometry. Source: the Alexandria database, functional GGA-PBE.

Total DFT energy (no corrections), eV/atom: -5.258
Calculated density, g cm⁻³: 10.05
Formation energy, eV per atom: -0.647

Lattice parameters (Å, degrees): 5.673 6.740 7.112 79.40 66.54 65.12
Space group P-1 (No. 2)
Asymmetric unit:
Ac  0.243  0.283  0.230 x2
Ga  0.500  0.500  0.500 x1
Pd  0.252  0.265  0.741 x2
Pd  0.254  0.907  0.585 x2
Pd  0.256  0.734  0.259 x2
Pb  0.000  0.000  0.000 x1

No. 3
Crystalline Ac3Ga2Pd6Pb at its relaxed geometry. Source: the Alexandria database, functional GGA-PBE.

Total DFT energy (no corrections), eV/atom: -5.065
Calculated density, g cm⁻³: 9.83
Formation energy, eV per atom: -0.628

Lattice parameters (Å, degrees): 6.0040 6.0040 9.0173 90.00 90.00 120.00
Space group P-3m1 (No. 164)
Asymmetric unit:
Ac  0.0000  0.0000  0.0000 x1
Ac  0.3333  0.6667  0.6327 x2
Ga  0.3333  0.6667  0.0294 x2
Pd  0.1784  0.3569  0.2653 x6
Pb  0.0000  0.0000  0.5000 x1

No. 4
Crystalline AcPmGaPb at its relaxed geometry. Source: the Alexandria database, functional GGA-PBE.

Total DFT energy (no corrections), eV/atom: -4.324
Calculated density, g cm⁻³: 8.80
Formation energy, eV per atom: -0.426

Lattice parameters (Å, degrees): 7.882 7.882 7.882 90.00 90.00 90.00
Space group F-43m (No. 216)
Asymmetric unit:
Ac  0.000  0.000  0.000 x4
Pm  0.000  0.000  0.500 x4
Ga  0.250  0.250  0.250 x4
Pb  0.250  0.250  0.750 x4